Entry 1:
VASP calculation (PBEsol) on a geometry-optimized BaPdPb2Au structure.

Cell: 5.2362 5.2362 5.2525 Å, 90.00 90.00 90.00°
Last column: nearest neighbours and their distance in Å.
Sites, in units of the cell vectors:
Ba: 0.0000 0.0000 0.0000  4 Au 3.70, 8 Pb 3.71
Pd: 0.5000 0.5000 0.5000  4 Pb 2.62, 2 Au 2.63
Pb: 0.0000 0.5000 0.5000  2 Pd 2.62
Pb: 0.5000 0.0000 0.5000  2 Pd 2.62
Au: 0.5000 0.5000 0.0000  2 Pd 2.63

Calculated values
The energy relative to the elements comes out at -0.198 eV/atom. As for the density of states at the Fermi level: 0.67 states/eV per atom. The calculation puts the total DFT energy (no corrections) at -4.204 eV/atom.

---

Entry 2:
VASP calculation (PBEsol) on a geometry-optimized Sn2PdIO structure.

Cell: 5.0786 5.0786 4.1724 Å, 90.00 90.00 90.00°
Last column: nearest neighbours and their distance in Å.
Sites, in units of the cell vectors:
Sn: 0.0000 0.5000 0.0000  2 O 2.54
Sn: 0.5000 0.0000 0.0000  2 O 2.54
Pd: 0.0000 0.0000 0.5000  2 O 2.09
I: 0.5000 0.5000 0.5000  8 Sn 3.29, 4 Pd 3.59
O: 0.0000 0.0000 0.0000  2 Pd 2.09

Calculated values
The calculation puts the raw formation energy at -143 meV/atom. As for the density of states at the Fermi level: 0.38 states/eV per atom. The calculation puts the total DFT energy (no corrections) at -4.442 eV/atom.

---

Entry 3:
VASP calculation (PBEsol) on a geometry-optimized Tl2RhCl2 structure.

Cell: 3.5889 3.5889 17.3959 Å, 90.00 90.00 90.00°
Last column: nearest neighbours and their distance in Å.
Sites, in units of the cell vectors:
Tl: 0.0000 0.0000 0.0863  4 Rh 2.95, 1 Tl 3.00
Tl: 0.0000 0.0000 0.9137  4 Rh 2.95, 1 Tl 3.00
Tl: 0.5000 0.5000 0.4137  4 Rh 2.95, 1 Tl 3.00
Tl: 0.5000 0.5000 0.5863  4 Rh 2.95, 1 Tl 3.00
Rh: 0.0000 0.0000 0.5000  8 Tl 2.95
Rh: 0.5000 0.5000 0.0000  8 Tl 2.95
Cl: 0.0000 0.5000 0.2500  4 Cl 2.54
Cl: 0.0000 0.5000 0.7500  4 Cl 2.54
Cl: 0.5000 0.0000 0.2500  4 Cl 2.54
Cl: 0.5000 0.0000 0.7500  4 Cl 2.54

Calculated values
The calculation puts the raw formation energy at 296 meV/atom. As for the density of states at the Fermi level: 0.65 states/eV per atom. The calculation puts the total DFT energy (no corrections) at -3.187 eV/atom.

---

Entry 4:
VASP calculation (PBEsol) on a geometry-optimized CrFe2AgS structure.

Cell: 4.6081 4.6081 4.8456 Å, 90.00 90.00 90.00°
Last column: nearest neighbours and their distance in Å.
Sites, in units of the cell vectors:
Cr: 0.0000 0.0000 0.0000  2 Ag 2.42
Fe: 0.0000 0.5000 0.5000  2 Ag 2.30
Fe: 0.5000 0.0000 0.5000  2 Ag 2.30
Ag: 0.0000 0.0000 0.5000  4 Fe 2.30, 2 Cr 2.42
S: 0.5000 0.5000 0.0000  4 Cr 3.26, 8 Fe 3.34

Calculated values
The calculation puts the raw formation energy at 1695 meV/atom. As for the density of states at the Fermi level: 1.39 states/eV per atom. The calculation puts the total DFT energy (no corrections) at -5.478 eV/atom.

---

> Which value of total DFT energy (no corrections) does entry 4 give?

-5.478 eV/atom

---

> Which of these has the lowest density of states at the Fermi level?

Sn2PdIO

---

> Number 2 is which compound?

Sn2PdIO